Entry 1:
First-principles (PBE-GGA) data for crystalline Na2HgPdI6 at its relaxed geometry, as listed in Alexandria via LeMat-Bulk.

Calculated values
crystal system	triclinic
total energy	-2.3468	eV/atom
SG	P1, No. 1

abc: 7.5171 8.4592 8.4250
angles: 65.45 60.31 58.65
Closest atoms and distances in Å follow each position.
Element x y z (fractional)
Na 0.5315 0.4850 0.4403  6 I 3.19-3.53
Na 0.0290 0.0191 0.9672  6 I 3.18-3.55
Hg 0.8150 0.8305 0.5396  2 I 2.70-2.72
Pd 0.3253 0.3408 0.0046  4 I 2.65-2.68
I 0.5372 0.2320 0.2342  1 Pd 2.68
I 0.1773 0.9185 0.3116  1 Hg 2.72
I 0.9615 0.5850 0.2073  1 Pd 2.66
I 0.4793 0.7102 0.7409  1 Hg 2.70
I 0.6967 0.1283 0.7736  1 Pd 2.67
I 0.1088 0.4122 0.7959  1 Pd 2.65

Entry 2:
First-principles (PBE-GGA) data for crystalline Na2HgPtI6 at its relaxed geometry, as listed in Alexandria via LeMat-Bulk.

Calculated values
crystal system	triclinic
total energy	-2.4063	eV/atom
SG	P1, No. 1

abc: 7.5296 8.4874 8.4602
angles: 65.42 60.41 58.20
Closest atoms and distances in Å follow each position.
Element x y z (fractional)
Na 0.5254 0.4887 0.4421  6 I 3.21-3.51
Na 0.0365 0.0122 0.9678  6 I 3.20-3.57
Hg 0.8064 0.8373 0.5407  2 I 2.70-2.73
Pt 0.3264 0.3417 0.0025  4 I 2.64-2.66
I 0.5406 0.2371 0.2262  1 Pt 2.66
I 0.1696 0.9232 0.3143  1 Hg 2.73
I 0.9612 0.5804 0.2080  1 Pt 2.65
I 0.4864 0.7009 0.7425  1 Hg 2.70
I 0.6984 0.1300 0.7744  1 Pt 2.65
I 0.1106 0.4101 0.7968  1 Pt 2.64

Entry 3:
First-principles (PBE-GGA) data for crystalline Na2PuHgI6 at its relaxed geometry, as listed in Alexandria via LeMat-Bulk.

Calculated values
density of states at the Fermi level	16.42	states/eV/f.u.
crystal system	trigonal
total energy	-3.5679	eV/atom
SG	R3, No. 146

abc: 8.0784 8.0781 8.7311
angles: 62.44 62.43 59.99
Closest atoms and distances in Å follow each position.
Element x y z (fractional)
Na 0.5171 0.5170 0.4487  6 I 3.22-3.35
Na 0.0032 0.0032 0.9907  6 I 3.25-3.26
Pu 0.3285 0.3284 0.0147  6 I 3.09
Hg 0.8170 0.8170 0.5488  6 I 3.27-3.47
I 0.5782 0.2344 0.2460  1 Pu 3.09, 2 Na 3.22-3.26
I 0.2343 0.9413 0.2460  1 Pu 3.09, 2 Na 3.22-3.26
I 0.9413 0.5784 0.2461  1 Pu 3.09, 2 Na 3.22-3.26
I 0.4036 0.7217 0.7580  1 Pu 3.09, 2 Na 3.26-3.35, 1 Hg 3.27
I 0.7218 0.1165 0.7581  1 Pu 3.09, 2 Na 3.26-3.35, 1 Hg 3.27
I 0.1166 0.4037 0.7581  1 Pu 3.09, 2 Na 3.25-3.34, 1 Hg 3.27

Entry 4:
First-principles (PBE-GGA) data for crystalline RbNaHgI4 at its relaxed geometry, as listed in Alexandria via LeMat-Bulk.

Calculated values
density of states at the Fermi level	0.00	states/eV/f.u.
crystal system	monoclinic
total energy	-2.1492	eV/atom
SG	P2_1/m, No. 11

abc: 7.8630 8.4360 9.8915
angles: 90.00 106.46 90.00
Closest atoms and distances in Å follow each position.
Element x y z (fractional)
Rb 0.7857 0.7500 0.9498  6 I 3.66-3.87
Rb 0.2143 0.2500 0.0502  6 I 3.66-3.87
Na 0.7660 0.7500 0.4251  4 I 3.15-3.42
Na 0.2340 0.2500 0.5749  4 I 3.15-3.42
Hg 0.2267 0.7500 0.3278  4 I 2.81-2.87
Hg 0.7733 0.2500 0.6722  4 I 2.81-2.87
I 0.0215 0.5076 0.7240  1 Hg 2.87
I 0.9785 0.0076 0.2760  1 Hg 2.87
I 0.9785 0.4924 0.2760  1 Hg 2.87
I 0.0215 0.9924 0.7240  1 Hg 2.87
I 0.4204 0.7500 0.1239  1 Hg 2.85
I 0.5796 0.2500 0.8761  1 Hg 2.85
I 0.4802 0.7500 0.5929  1 Hg 2.81
I 0.5198 0.2500 0.4071  1 Hg 2.81

Entry 5:
First-principles (PBE-GGA) data for crystalline RbNa2HgI6 at its relaxed geometry, as listed in Alexandria via LeMat-Bulk.

Calculated values
crystal system	monoclinic
total energy	-2.1336	eV/atom
SG	C2/c, No. 15

abc: 9.1833 11.6084 11.6084
angles: 100.02 71.51 71.51
Closest atoms and distances in Å follow each position.
Element x y z (fractional)
Rb 0.2500 0.8942 0.1058  6 I 3.73-3.76
Rb 0.7500 0.1058 0.8942  6 I 3.73-3.76
Na 0.4004 0.7183 0.5260  5 I 3.09-3.32
Na 0.0996 0.4740 0.2817  5 I 3.09-3.32
Na 0.5996 0.2817 0.4740  5 I 3.09-3.32
Na 0.9004 0.5260 0.7183  5 I 3.09-3.32
Hg 0.2500 0.1600 0.8400  4 I 2.82-2.92
Hg 0.7500 0.8400 0.1600  4 I 2.82-2.92
I 0.2076 0.9197 0.7990  1 Hg 2.92, 1 Na 3.14
I 0.2924 0.2010 0.0803  1 Hg 2.92, 1 Na 3.14
I 0.7924 0.0803 0.2010  1 Hg 2.92, 1 Na 3.14
I 0.7076 0.7990 0.9197  1 Hg 2.92, 1 Na 3.14
I 0.4367 0.8864 0.3485  1 Hg 2.82, 1 Na 3.09
I 0.0633 0.6515 0.1136  1 Hg 2.82, 1 Na 3.09
I 0.5633 0.1136 0.6515  1 Hg 2.82, 1 Na 3.09
I 0.9367 0.3485 0.8864  1 Hg 2.82, 1 Na 3.09
I 0.0662 0.6697 0.5430  3 Na 3.17-3.32, 1 I 3.30
I 0.4338 0.4570 0.3303  3 Na 3.17-3.32, 1 I 3.30
I 0.9338 0.3303 0.4570  3 Na 3.17-3.32, 1 I 3.30
I 0.5662 0.5430 0.6697  3 Na 3.17-3.32, 1 I 3.30

Entry 6:
First-principles (PBE-GGA) data for crystalline RbNa2HgI4 at its relaxed geometry, as listed in Alexandria via LeMat-Bulk.

Calculated values
density of states at the Fermi level	1.35	states/eV/f.u.
crystal system	orthorhombic
total energy	-2.2215	eV/atom
SG	Cmcm, No. 63

abc: 5.4736 8.2208 15.8394
angles: 90.00 90.00 109.45
Closest atoms and distances in Å follow each position.
Element x y z (fractional)
Rb 0.1400 0.2799 0.7500  6 I 3.81-4.05, 1 Hg 3.87
Rb 0.8600 0.7201 0.2500  6 I 3.81-4.05, 1 Hg 3.87
Na 0.3748 0.7497 0.5484  4 I 3.11-3.44
Na 0.6252 0.2503 0.0484  4 I 3.11-3.44
Na 0.6252 0.2503 0.4516  4 I 3.11-3.44
Na 0.3748 0.7497 0.9516  4 I 3.11-3.44
Hg 0.8903 0.7807 0.7500  4 I 2.88-3.19
Hg 0.1097 0.2193 0.2500  4 I 2.88-3.19
I 0.2611 0.5221 0.1133  1 Na 3.11, 1 Hg 3.19
I 0.7389 0.4779 0.6133  1 Na 3.11, 1 Hg 3.19
I 0.7389 0.4779 0.8867  1 Na 3.11, 1 Hg 3.19
I 0.2611 0.5221 0.3867  1 Na 3.11, 1 Hg 3.19
I 0.0000 0.0000 0.5000  4 Na 3.44
I 0.0000 0.0000 0.0000  4 Na 3.44
I 0.4473 0.8946 0.7500  2 Hg 2.88
I 0.5527 0.1054 0.2500  2 Hg 2.88

Entry 7:
First-principles (PBE-GGA) data for crystalline RbNa3Hg4I12 at its relaxed geometry, as listed in Alexandria via LeMat-Bulk.

Calculated values
density of states at the Fermi level	0.00	states/eV/f.u.
crystal system	trigonal
total energy	-1.9053	eV/atom
SG	R32, No. 155

abc: 10.4507 10.4507 10.4507
angles: 104.85 104.85 104.85
Closest atoms and distances in Å follow each position.
Element x y z (fractional)
Rb 0.0000 0.0000 0.0000  6 I 3.85
Na 0.5525 0.4475 0.0000  6 I 3.21-3.31
Na 0.4475 0.0000 0.5525  6 I 3.21-3.31
Na 0.0000 0.5525 0.4475  6 I 3.21-3.31
Hg 0.9369 0.0631 0.5000  3 I 2.76-2.79
Hg 0.0631 0.5000 0.9369  3 I 2.76-2.79
Hg 0.5000 0.9369 0.0631  3 I 2.76-2.79
Hg 0.5000 0.5000 0.5000  3 I 2.76
I 0.5000 0.3336 0.6664  1 Hg 2.76
I 0.8949 0.5000 0.1051  1 Hg 2.79
I 0.1051 0.8949 0.5000  1 Hg 2.79
I 0.5000 0.1051 0.8949  1 Hg 2.79
I 0.3261 0.9482 0.2212  1 Hg 2.76
I 0.2212 0.3261 0.9482  1 Hg 2.76
I 0.9482 0.2212 0.3261  1 Hg 2.76
I 0.6739 0.7788 0.0518  1 Hg 2.76
I 0.0518 0.6739 0.7788  1 Hg 2.76
I 0.7788 0.0518 0.6739  1 Hg 2.76
I 0.6664 0.5000 0.3336  1 Hg 2.76
I 0.3336 0.6664 0.5000  1 Hg 2.76

Entry 8:
First-principles (PBE-GGA) data for crystalline Rb2NaHgI5 at its relaxed geometry, as listed in Alexandria via LeMat-Bulk.

Calculated values
crystal system	orthorhombic
total energy	-2.2943	eV/atom
SG	Cmc2_1, No. 36

abc: 4.7143 11.4986 15.2634
angles: 90.00 90.00 101.83
Closest atoms and distances in Å follow each position.
Element x y z (fractional)
Rb 0.8702 0.7405 0.8216  6 I 3.68-3.87
Rb 0.1336 0.2673 0.6872  7 I 3.66-3.98
Rb 0.1298 0.2595 0.3216  6 I 3.68-3.87
Rb 0.8664 0.7327 0.1872  7 I 3.66-3.98
Na 0.7861 0.5721 0.5348  5 I 3.13-3.41
Na 0.2139 0.4279 0.0348  5 I 3.13-3.41
Hg 0.5630 0.1261 0.9262  4 I 2.81-2.91
Hg 0.4370 0.8739 0.4262  4 I 2.81-2.91
I 0.3516 0.7031 0.0055  1 Na 3.13
I 0.6862 0.3724 0.8788  1 Hg 2.86
I 0.5015 0.0030 0.7658  1 Hg 2.81
I 0.2981 0.5963 0.6704  2 Na 3.15
I 0.9580 0.9160 0.5337  2 Hg 2.91
I 0.6484 0.2969 0.5055  1 Na 3.13
I 0.3138 0.6276 0.3788  1 Hg 2.86
I 0.4985 0.9970 0.2658  1 Hg 2.81
I 0.7019 0.4037 0.1704  2 Na 3.15
I 0.0420 0.0840 0.0337  2 Hg 2.91

Entry 9:
First-principles (PBE-GGA) data for crystalline RbNaHg2I6 at its relaxed geometry, as listed in Alexandria via LeMat-Bulk.

Calculated values
density of states at the Fermi level	0.00	states/eV/f.u.
crystal system	trigonal
total energy	-1.9311	eV/atom
SG	R3, No. 146

abc: 8.1795 8.1786 9.9255
angles: 89.98 114.35 120.02
Closest atoms and distances in Å follow each position.
Element x y z (fractional)
Rb 0.0001 0.4996 0.4853  6 I 3.72-3.73
Na 0.9999 0.9991 0.9854  6 I 3.24-3.25
Hg 0.4770 0.7379 0.2011  3 I 2.76
Hg 0.5161 0.2576 0.7593  3 I 2.76
I 0.5429 0.9349 0.7479  1 Hg 2.76
I 0.4614 0.0672 0.2096  1 Hg 2.76
I 0.8299 0.7617 0.2091  1 Hg 2.76
I 0.1556 0.3928 0.2090  1 Hg 2.76
I 0.8273 0.6072 0.7475  1 Hg 2.76
I 0.1554 0.2196 0.7482  1 Hg 2.76

Entry 10:
First-principles (PBE-GGA) data for crystalline NaHg2SI at its relaxed geometry, as listed in Alexandria via LeMat-Bulk.

Calculated values
density of states at the Fermi level	0.16	states/eV/f.u.
crystal system	tetragonal
total energy	-1.9442	eV/atom
SG	P4/mmm, No. 123

abc: 5.2773 5.2773 5.6577
angles: 90.00 90.00 90.00
Closest atoms and distances in Å follow each position.
Element x y z (fractional)
I 0.5000 0.5000 0.5000  4 Na 3.73, 8 Hg 3.87
Na 0.0000 0.0000 0.5000  2 S 2.83
S 0.0000 0.0000 0.0000  4 Hg 2.64, 2 Na 2.83
Hg 0.0000 0.5000 0.0000  2 S 2.64
Hg 0.5000 0.0000 0.0000  2 S 2.64

Entry 11:
First-principles (PBE-GGA) data for crystalline Na3Hg2S2I3 at its relaxed geometry, as listed in Alexandria via LeMat-Bulk.

Calculated values
density of states at the Fermi level	3.06	states/eV/f.u.
crystal system	tetragonal
total energy	-2.4462	eV/atom
SG	I4/mmm, No. 139

abc: 4.6202 4.6202 15.2347
angles: 98.72 98.72 90.00
Closest atoms and distances in Å follow each position.
Element x y z (fractional)
Na 0.8940 0.8940 0.7880  1 S 2.94, 5 I 3.15-3.27
Na 0.5000 0.5000 0.0000  6 I 3.27-3.31
Na 0.1060 0.1060 0.2120  1 S 2.94, 5 I 3.15-3.27
Hg 0.7500 0.2500 0.5000  4 S 2.67
Hg 0.2500 0.7500 0.5000  4 S 2.67
S 0.7953 0.7953 0.5905  4 Hg 2.67, 1 Na 2.94
S 0.2047 0.2047 0.4095  4 Hg 2.67, 1 Na 2.94
I 0.6112 0.6112 0.2224  5 Na 3.27-3.31
I 0.3888 0.3888 0.7776  5 Na 3.27-3.31
I 0.0000 0.0000 0.0000  6 Na 3.15-3.27

Entry 12:
First-principles (PBE-GGA) data for crystalline Na2HgSI at its relaxed geometry, as listed in Alexandria via LeMat-Bulk.

Calculated values
density of states at the Fermi level	0.37	states/eV/f.u.
crystal system	tetragonal
total energy	-2.5275	eV/atom
SG	P4/mmm, No. 123

abc: 5.4841 5.4841 5.1877
angles: 90.00 90.00 90.00
Closest atoms and distances in Å follow each position.
Element x y z (fractional)
I 0.5000 0.5000 0.5000  8 Na 3.77, 4 Hg 3.88
Na 0.0000 0.5000 0.0000  2 S 2.74
Na 0.5000 0.0000 0.0000  2 S 2.74
S 0.0000 0.0000 0.0000  2 Hg 2.59, 4 Na 2.74
Hg 0.0000 0.0000 0.5000  2 S 2.59